1.
# PBE-GGA SrTl2Ni2, relaxed
data_SrTl2Ni2
_chemical_formula_sum 'Sr2 Tl4 Ni4'
_space_group_name_H-M_alt 'P 4/m b m'
_space_group_IT_number 127
_space_group_name_Hall '-P 4 2ab'
_cell_length_a 7.617
_cell_length_b 7.617
_cell_length_c 3.725
_cell_angle_alpha 90.00
_cell_angle_beta 90.00
_cell_angle_gamma 90.00
loop_
_atom_site_label
_atom_site_type_symbol
_atom_site_fract_x
_atom_site_fract_y
_atom_site_fract_z
_atom_site_occupancy
Sr1 Sr 0.000 0.000 0.000 1
Tl1 Tl 0.160 0.340 0.500 1
Ni1 Ni 0.116 0.616 0.000 1
# - DOS(E_F) (states/eV per cell) = 8.2
# - spin magnetization (μB/atom) = 0.000
# - final energy (eV/cell) = -34.7
# - energy of formation from the pure elements (eV/atom) = 0.12
# - excess energy over the best structure of this formula in the dataset (kJ per mole of atoms) = 12.9

---

2.
# PBE-GGA SrLi2Cl, relaxed
data_SrLi2Cl
_chemical_formula_sum 'Sr2 Li4 Cl2'
_space_group_name_H-M_alt 'I m m m'
_space_group_IT_number 71
_space_group_name_Hall '-I 2 2'
_cell_length_a 3.735
_cell_length_b 4.739
_cell_length_c 13.270
_cell_angle_alpha 90.00
_cell_angle_beta 90.00
_cell_angle_gamma 90.00
loop_
_atom_site_label
_atom_site_type_symbol
_atom_site_fract_x
_atom_site_fract_y
_atom_site_fract_z
_atom_site_occupancy
Sr1 Sr 0.000 0.000 0.000 1
Li1 Li 0.000 0.500 0.235 1
Cl1 Cl 0.000 0.000 0.500 1
# - energy relative to the elements, uncorrected (eV/atom) = -0.688
# - DOS(E_F) (states/eV per cell) = 2.8
# - spin magnetization (μB/atom) = 0.000
# - final energy (eV/cell) = -20.2
# - excess energy over the best structure of this formula in the dataset (kJ per mole of atoms) = 4.2

---

3.
# PBE-GGA KBaOs2, relaxed
data_KBaOs2
_chemical_formula_sum 'K1 Ba1 Os2'
_space_group_name_H-M_alt 'P 1 m 1'
_space_group_IT_number 6
_cell_length_a 3.029
_cell_length_b 3.989
_cell_length_c 9.924
_cell_angle_alpha 90.00
_cell_angle_beta 92.71
_cell_angle_gamma 90.00
loop_
_space_group_symop_operation_xyz
'x,y,z'
'x,-y,z'
loop_
_atom_site_label
_atom_site_type_symbol
_atom_site_fract_x
_atom_site_fract_y
_atom_site_fract_z
_atom_site_occupancy
K1 K 0.000 0.000 0.000 1
Ba1 Ba 0.429 0.500 0.568 1
Os1 Os 0.484 0.500 0.261 1
Os2 Os 0.923 0.000 0.330 1
# - DOS(E_F) (states/eV per cell) = 3.7
# - spin magnetization (μB/atom) = 0.000
# - final energy (eV/cell) = -22.7
# - energy of formation from the pure elements (eV/atom) = 0.70
# - excess energy over the best structure of this formula in the dataset (kJ per mole of atoms) = 24.5

---

Question: The highest final energy belongs to which entry?
Answer: SrLi2Cl